Cu2PSe3 (PBE, optimized geometry); magnetic moment = 0.0 μB/f.u.; space-group type = Imm2; formation energy from raw total energies = -0.10 eV/atom
1.0
-2.1471 5.7294 2.5986
2.1471 -5.7294 2.5986
2.1471 5.7294 -2.5986
Cu P Se
2 1 3
Direct
0.1646 0.0000 0.1646 Cu
0.8354 0.0000 0.8354 Cu
0.4905 0.9905 0.5000 P
0.0689 0.7307 0.3381 Se
0.3926 0.7307 0.6619 Se
0.7035 0.7035 0.0000 Se